# 1
A plane-wave DFT calculation with GGA-PBE was carried out for an optimized crystal structure of Y2SiGe.

Values from the calculation:
Volume: 22.3 A^3/atom
Formation energy without anion corrections: -865 meV/atom

abc: 5.7428 3.9093 8.3511
angles: 90.00 107.65 90.00
Last column: nearest neighbours and their distance in Å.
Fractional positions:
Y 0.2055 0.2500 0.4282  3 Si 2.95-3.18, 4 Ge 2.98-3.16
Y 0.2871 0.7500 0.0678  4 Si 2.96-3.20, 3 Ge 2.98-3.17
Y 0.7129 0.2500 0.9322  4 Si 2.96-3.20, 3 Ge 2.98-3.17
Y 0.7945 0.7500 0.5718  3 Si 2.95-3.18, 4 Ge 2.98-3.16
Si 0.1294 0.2500 0.7901  2 Ge 2.60
Si 0.8706 0.7500 0.2099  2 Ge 2.60
Ge 0.3714 0.7500 0.7099  2 Si 2.60
Ge 0.6286 0.2500 0.2901  2 Si 2.60



# 2
A plane-wave DFT calculation with GGA-PBE was carried out for an optimized crystal structure of Y10Si3Ge3.

Values from the calculation:
Volume: 25.0 A^3/atom
Formation energy without anion corrections: -779 meV/atom

abc: 8.4913 8.4913 6.4142
angles: 90.00 90.00 120.00
Last column: nearest neighbours and their distance in Å.
Fractional positions:
Y 0.0000 0.2425 0.0000  3 Si 2.92-3.09
Y 0.0000 0.7573 0.5000  3 Ge 2.93-3.08
Y 0.2425 0.0000 0.0000  3 Si 2.92-3.09
Y 0.2427 0.2427 0.5000  3 Ge 2.93-3.08
Y 0.3333 0.6667 0.2477  3 Si 3.06, 3 Ge 3.07, 2 Y 3.18-3.24
Y 0.3333 0.6667 0.7523  3 Si 3.06, 3 Ge 3.07, 2 Y 3.18-3.24
Y 0.6667 0.3333 0.2477  3 Si 3.06, 3 Ge 3.07, 2 Y 3.18-3.24
Y 0.6667 0.3333 0.7523  3 Si 3.06, 3 Ge 3.07, 2 Y 3.18-3.24
Y 0.7573 0.0000 0.5000  3 Ge 2.93-3.08
Y 0.7575 0.7575 0.0000  3 Si 2.92-3.09
Si 0.0000 0.6060 0.0000  7 Y 2.92-3.09
Si 0.3940 0.3940 0.0000  7 Y 2.92-3.09
Si 0.6060 0.0000 0.0000  7 Y 2.92-3.09
Ge 0.0000 0.3943 0.5000  7 Y 2.93-3.08
Ge 0.3943 0.0000 0.5000  7 Y 2.93-3.08
Ge 0.6057 0.6057 0.5000  7 Y 2.93-3.08



# 3
A plane-wave DFT calculation with GGA-PBE was carried out for an optimized crystal structure of Y5Si2Ge.

Values from the calculation:
Volume: 24.5 A^3/atom
Formation energy without anion corrections: -715 meV/atom

abc: 8.6827 8.6827 8.6827
angles: 128.24 128.24 76.23
Last column: nearest neighbours and their distance in Å.
Fractional positions:
Y 0.0000 0.0000 0.0000  4 Si 2.99
Y 0.0260 0.5260 0.8393  3 Si 2.94-3.00, 2 Ge 3.17
Y 0.1867 0.0260 0.5000  3 Si 2.94-3.00, 2 Ge 3.17
Y 0.3133 0.8133 0.8393  3 Si 2.94-3.00, 2 Ge 3.17
Y 0.4740 0.3133 0.5000  3 Si 2.94-3.00, 2 Ge 3.17
Y 0.5000 0.5000 0.0000  4 Si 2.99
Y 0.5260 0.6867 0.5000  3 Si 2.94-3.00, 2 Ge 3.17
Y 0.6867 0.1867 0.1607  3 Si 2.94-3.00, 2 Ge 3.17
Y 0.8133 0.9740 0.5000  3 Si 2.94-3.00, 2 Ge 3.17
Y 0.9740 0.4740 0.1607  3 Si 2.94-3.00, 2 Ge 3.17
Si 0.1264 0.3736 0.5000  1 Si 2.71, 8 Y 2.94-3.00
Si 0.3736 0.8736 0.2472  1 Si 2.71, 8 Y 2.94-3.00
Si 0.6264 0.1264 0.7528  1 Si 2.71, 8 Y 2.94-3.00
Si 0.8736 0.6264 0.5000  1 Si 2.71, 8 Y 2.94-3.00
Ge 0.2500 0.2500 0.0000  10 Y 3.17-3.42
Ge 0.7500 0.7500 0.0000  10 Y 3.17-3.42



# 4
A plane-wave DFT calculation with GGA-PBE was carried out for an optimized crystal structure of YSi3Ge.

Values from the calculation:
Volume: 22.0 A^3/atom
Formation energy without anion corrections: 536 meV/atom

abc: 4.7908 4.7908 4.7908
angles: 90.00 90.00 90.00
Last column: nearest neighbours and their distance in Å.
Fractional positions:
Y 0.0000 0.0000 0.0000  12 Si 3.39
Si 0.0000 0.5000 0.5000  2 Ge 2.40
Si 0.5000 0.0000 0.5000  2 Ge 2.40
Si 0.5000 0.5000 0.0000  2 Ge 2.40
Ge 0.5000 0.5000 0.5000  6 Si 2.40